DFT (PBE-GGA) results for a relaxed TbSmAs crystal.

The structure in extended XYZ format:
```
3
Lattice="0.0000 3.4511 3.4511 3.4511 0.0000 3.4511 3.4511 3.4511 0.0000" Properties=species:S:1:pos:R:3 pbc="T T T"
Tb 0.0000 0.0000 0.0000
Sm 3.4511 3.4511 3.4511
As 5.1766 5.1766 5.1766
```

Values from the calculation:
**VASP energy**: -5.460 eV/atom
**Space-group type**: F-43m (216)